Entry 1:
{
  "formula": "KEu2Pt",
  "functional": "PBE",
  "state": "relaxed",
  "ef_mev_per_atom": -429,
  "lattice": [[3.7291, 0.0000, 0.0000], [0.0000, 3.7291, 0.0000], [0.0000, 0.0000, 10.7343]],
  "species": ["K", "Eu", "Eu", "Pt"],
  "frac_coords": [[0.0000, 0.0000, 0.0000], [0.5000, 0.5000, 0.3446], [0.5000, 0.5000, 0.6554], [0.0000, 0.0000, 0.5000]]
}

Entry 2:
{
  "formula": "Ag2HgC",
  "functional": "PBE",
  "state": "relaxed",
  "e_above_lowest_polymorph_mev_per_atom": 267,
  "ef_mev_per_atom": 1448,
  "lattice": [[0.0000, 3.2469, 3.2469], [3.2469, 0.0000, 3.2469], [3.2469, 3.2469, 0.0000]],
  "species": ["Ag", "Ag", "Hg", "C"],
  "frac_coords": [[0.2500, 0.2500, 0.2500], [0.7500, 0.7500, 0.7500], [0.0000, 0.0000, 0.0000], [0.5000, 0.5000, 0.5000]]
}

Entry 3:
{
  "formula": "BaTa3Cu4O12",
  "functional": "PBE",
  "state": "relaxed",
  "raw_formation_energy_ev_per_atom": -1.94,
  "lattice": [[5.5174, 3.1855, 2.6422], [-5.5174, 3.1855, 2.6422], [0.0000, -6.3709, 2.6422]],
  "species": ["Ba", "Ta", "Ta", "Ta", "Cu", "Cu", "Cu", "Cu", "O", "O", "O", "O", "O", "O", "O", "O", "O", "O", "O", "O"],
  "frac_coords": [[0.0000, 0.0000, 0.0000], [0.0000, 0.5629, 0.4371], [0.4371, 0.0000, 0.5629], [0.5629, 0.4371, 0.0000], [0.0735, 0.5000, 0.9265], [0.5000, 0.5000, 0.5000], [0.5000, 0.9265, 0.0735], [0.9265, 0.0735, 0.5000], [0.0019, 0.6275, 0.7262], [0.1016, 0.8984, 0.5000], [0.2738, 0.3725, 0.9981], [0.3262, 0.6738, 0.5000], [0.3725, 0.9981, 0.2738], [0.5000, 0.1016, 0.8984], [0.5000, 0.3262, 0.6738], [0.6275, 0.7262, 0.0019], [0.6738, 0.5000, 0.3262], [0.7262, 0.0019, 0.6275], [0.8984, 0.5000, 0.1016], [0.9981, 0.2738, 0.3725]]
}

Entry 4:
{
  "formula": "Dy2PuRuN4",
  "functional": "PBE",
  "state": "relaxed",
  "raw_formation_energy_ev_per_atom": -0.96,
  "lattice": [[1.6678, -5.7893, 0.0000], [1.6678, 5.7893, 0.0000], [0.0000, 0.0000, 11.5490]],
  "species": ["Dy", "Dy", "Dy", "Dy", "Pu", "Pu", "Ru", "Ru", "N", "N", "N", "N", "N", "N", "N", "N"],
  "frac_coords": [[0.1302, 0.8698, 0.5461], [0.1302, 0.8698, 0.9539], [0.8698, 0.1302, 0.0461], [0.8698, 0.1302, 0.4539], [0.3835, 0.6165, 0.7500], [0.6165, 0.3835, 0.2500], [0.3565, 0.6435, 0.2500], [0.6435, 0.3565, 0.7500], [0.0348, 0.9652, 0.7500], [0.2258, 0.7742, 0.1329], [0.2258, 0.7742, 0.3671], [0.5000, 0.5000, 0.0000], [0.5000, 0.5000, 0.5000], [0.7742, 0.2258, 0.6329], [0.7742, 0.2258, 0.8671], [0.9652, 0.0348, 0.2500]]
}

Entry 5:
{
  "formula": "TbGdSn",
  "functional": "PBE",
  "state": "relaxed",
  "e_above_lowest_polymorph_mev_per_atom": 63,
  "ef_mev_per_atom": -419,
  "lattice": [[0.0000, 3.6565, 3.6565], [3.6565, 0.0000, 3.6565], [3.6565, 3.6565, 0.0000]],
  "species": ["Tb", "Gd", "Sn"],
  "frac_coords": [[0.0000, 0.0000, 0.0000], [0.5000, 0.5000, 0.5000], [0.2500, 0.2500, 0.2500]]
}

Entry 6:
{
  "formula": "NaLiCa2Au",
  "functional": "PBE",
  "state": "relaxed",
  "e_above_lowest_polymorph_mev_per_atom": 86,
  "ef_mev_per_atom": -159,
  "lattice": [[5.7212, 0.0000, 0.0000], [0.0000, 5.7212, 0.0000], [0.0000, 0.0000, 5.6166]],
  "species": ["Na", "Li", "Ca", "Ca", "Au"],
  "frac_coords": [[0.0000, 0.0000, 0.0000], [0.5000, 0.5000, 0.0000], [0.0000, 0.5000, 0.5000], [0.5000, 0.0000, 0.5000], [0.0000, 0.0000, 0.5000]]
}

Entry 7:
{
  "formula": "AsBrCl2",
  "functional": "PBE",
  "state": "relaxed",
  "e_above_lowest_polymorph_mev_per_atom": 746,
  "raw_formation_energy_ev_per_atom": 0.13,
  "lattice": [[1.5837, 0.9144, 12.9698], [-1.5837, 0.9144, 12.9698], [0.0000, -1.8288, 12.9698]],
  "species": ["As", "Br", "Cl", "Cl"],
  "frac_coords": [[0.0000, 0.0000, 0.0000], [0.5000, 0.5000, 0.5000], [0.0601, 0.0601, 0.0601], [0.9399, 0.9399, 0.9399]]
}

Entry 8:
{
  "formula": "Ba2CrRe",
  "functional": "PBE",
  "state": "relaxed",
  "e_above_lowest_polymorph_mev_per_atom": 749,
  "ef_mev_per_atom": 1294,
  "lattice": [[0.0000, 3.8105, 3.8105], [3.8105, 0.0000, 3.8105], [3.8105, 3.8105, 0.0000]],
  "species": ["Ba", "Ba", "Cr", "Re"],
  "frac_coords": [[0.0000, 0.0000, 0.0000], [0.2500, 0.2500, 0.2500], [0.7500, 0.7500, 0.7500], [0.5000, 0.5000, 0.5000]]
}

Number 1: N(E_F) 20.78 states/eV/cell, V 149 Å³/cell. Number 2: N(E_F) 2.37 states/eV/cell, V 68 Å³/cell. Number 3: N(E_F) 8.62 states/eV/cell, V 279 Å³/cell. Number 4: N(E_F) 14.85 states/eV/cell, V 223 Å³/cell. Number 5: N(E_F) 4.80 states/eV/cell, V 98 Å³/cell. Number 6: N(E_F) 3.53 states/eV/cell, V 184 Å³/cell. Number 7: N(E_F) 3.26 states/eV/cell, V 113 Å³/cell. Number 8: N(E_F) 4.71 states/eV/cell, V 111 Å³/cell.